[1]
This record from the Alexandria database describes Y2TiSi4Ir3 after structural relaxation. The functional is PBE-GGA.

- formation energy without anion corrections (meV/atom) = -953
- calculated volume (Å³ per atom) = 17.298

Geometry as CIF:
```
data_Y2TiSi4Ir3
_chemical_formula_sum 'Y2 Ti1 Si4 Ir3'
_cell_length_a 4.0668
_cell_length_b 4.0668
_cell_length_c 10.4591
_cell_angle_alpha 90.00
_cell_angle_beta 90.00
_cell_angle_gamma 90.00
_symmetry_space_group_name_H-M 'P -4 m 2'
_symmetry_Int_Tables_number 115
_symmetry_space_group_name_Hall 'P -4 -2'
loop_
_atom_site_label
_atom_site_fract_x
_atom_site_fract_y
_atom_site_fract_z
Y1 0.0000 0.5000 0.2458
Ti1 0.0000 0.0000 0.5000
Si1 0.0000 0.0000 0.0000
Si2 0.0000 0.5000 0.6456
Si3 0.5000 0.5000 0.0000
Ir1 0.0000 0.5000 0.8760
Ir2 0.5000 0.5000 0.5000
```

=====

[2]
This record from the Alexandria database describes In3ReRh after structural relaxation. The functional is PBE-GGA.

- E_tot (eV for the cell shown) = -22.780
- calculated volume (Å³ per atom) = 27.113

Geometry as CIF:
```
data_In3ReRh
_chemical_formula_sum 'In3 Re1 Rh1'
_cell_length_a 5.1371
_cell_length_b 5.1371
_cell_length_c 5.1371
_cell_angle_alpha 90.00
_cell_angle_beta 90.00
_cell_angle_gamma 90.00
_symmetry_space_group_name_H-M 'P m -3 m'
_symmetry_Int_Tables_number 221
_symmetry_space_group_name_Hall '-P 4 2 3'
loop_
_atom_site_label
_atom_site_fract_x
_atom_site_fract_y
_atom_site_fract_z
In1 0.0000 0.0000 0.5000
Re1 0.0000 0.0000 0.0000
Rh1 0.5000 0.5000 0.5000
```

=====

[3]
This record from the Alexandria database describes In2SiPt after structural relaxation. The functional is PBE-GGA.

- formation energy without anion corrections (meV/atom) = 75
- calculated volume (Å³ per atom) = 19.519

Geometry as CIF:
```
data_In2SiPt
_chemical_formula_sum 'In4 Si2 Pt2'
_cell_length_a 4.4197
_cell_length_b 4.4280
_cell_length_c 7.9792
_cell_angle_alpha 90.00
_cell_angle_beta 90.00
_cell_angle_gamma 90.00
_symmetry_space_group_name_H-M 'C m m m'
_symmetry_Int_Tables_number 65
_symmetry_space_group_name_Hall '-C 2 2'
loop_
_atom_site_label
_atom_site_fract_x
_atom_site_fract_y
_atom_site_fract_z
In1 0.0000 0.0000 0.2339
Si1 0.0000 0.5000 0.5000
Pt1 0.0000 0.5000 0.0000
```

=====

[4]
This record from the Alexandria database describes Nd5SiSb2 after structural relaxation. The functional is PBE-GGA.

- formation energy without anion corrections (meV/atom) = -489
- calculated volume (Å³ per atom) = 36.916

Geometry as CIF:
```
data_Nd5SiSb2
_chemical_formula_sum 'Nd20 Si4 Sb8'
_cell_length_a 6.1691
_cell_length_b 13.6353
_cell_length_c 14.0437
_cell_angle_alpha 90.00
_cell_angle_beta 90.00
_cell_angle_gamma 90.00
_symmetry_space_group_name_H-M 'C m c m'
_symmetry_Int_Tables_number 63
_symmetry_space_group_name_Hall '-C 2c 2'
loop_
_atom_site_label
_atom_site_fract_x
_atom_site_fract_y
_atom_site_fract_z
Nd1 0.0000 0.0532 0.1227
Nd2 0.0000 0.2995 0.7500
Nd3 0.0000 0.3490 0.0810
Si1 0.0000 0.2198 0.2500
Sb1 0.0000 0.1706 0.5675
```

=====

[5]
This record from the Alexandria database describes Ba2PaNiS6 after structural relaxation. The functional is PBE-GGA.

- formation energy without anion corrections (meV/atom) = -1382
- calculated volume (Å³ per atom) = 25.097

Geometry as CIF:
```
data_Ba2PaNiS6
_chemical_formula_sum 'Ba2 Pa1 Ni1 S6'
_cell_length_a 5.1446
_cell_length_b 5.1446
_cell_length_c 9.4824
_cell_angle_alpha 90.00
_cell_angle_beta 90.00
_cell_angle_gamma 90.00
_symmetry_space_group_name_H-M 'P 4/m m m'
_symmetry_Int_Tables_number 123
_symmetry_space_group_name_Hall '-P 4 2'
loop_
_atom_site_label
_atom_site_fract_x
_atom_site_fract_y
_atom_site_fract_z
Ba1 0.0000 0.0000 0.2159
Pa1 0.5000 0.5000 0.5000
Ni1 0.5000 0.5000 0.0000
S1 0.0000 0.5000 0.0000
S2 0.0000 0.5000 0.5000
S3 0.5000 0.5000 0.2305
```

=====

[6]
This record from the Alexandria database describes Mn2SbAs after structural relaxation. The functional is PBE-GGA.

- formation energy without anion corrections (meV/atom) = 304
- calculated volume (Å³ per atom) = 14.324

Geometry as CIF:
```
data_Mn2SbAs
_chemical_formula_sum 'Mn8 Sb4 As4'
_cell_length_a 6.1197
_cell_length_b 6.1197
_cell_length_c 6.1197
_cell_angle_alpha 90.00
_cell_angle_beta 90.00
_cell_angle_gamma 90.00
_symmetry_space_group_name_H-M 'F m -3 m'
_symmetry_Int_Tables_number 225
_symmetry_space_group_name_Hall '-F 4 2 3'
loop_
_atom_site_label
_atom_site_fract_x
_atom_site_fract_y
_atom_site_fract_z
Mn1 0.2500 0.2500 0.2500
Sb1 0.0000 0.0000 0.0000
As1 0.0000 0.0000 0.5000
```

=====

| no. | D(E_F) (states/eV/atom) |
| --- | --- |
| 1 | 0.661 |
| 2 | 1.237 |
| 3 | 0.534 |
| 4 | 1.183 |
| 5 | 0.401 |
| 6 | 0.821 |